The following is a PBE-GGA calculation of a relaxed structure of Er2Al4Zn3Au, from Alexandria.

Output
The calculation puts the total energy at -0.1302 hartree per atom. The crystal system is tetragonal. The value obtained for the formation energy from the elements is -0.423 eV/atom.

Structure (CIF):
```
data_Er2Al4Zn3Au
_chemical_formula_sum 'Er2 Al4 Zn3 Au1'
_cell_length_a 4.147
_cell_length_b 4.147
_cell_length_c 10.834
_cell_angle_alpha 90.00
_cell_angle_beta 90.00
_cell_angle_gamma 90.00
_symmetry_space_group_name_H-M 'P -4 m 2'
_symmetry_Int_Tables_number 115
loop_
_symmetry_equiv_pos_as_xyz
'x,y,z'
'y,-x,-z'
'-x,-y,z'
'-y,x,-z'
'-x,y,z'
'-y,-x,-z'
'x,-y,z'
'y,x,-z'
loop_
_atom_site_label
_atom_site_type_symbol
_atom_site_fract_x
_atom_site_fract_y
_atom_site_fract_z
Er1 Er 0.000 0.500 0.246
Al1 Al 0.000 0.000 0.000
Al2 Al 0.000 0.500 0.638
Al3 Al 0.500 0.500 0.000
Zn1 Zn 0.000 0.500 0.861
Zn2 Zn 0.500 0.500 0.500
Au1 Au 0.000 0.000 0.500
```